(1)
Below is crystalline Th8RuC3Se4 at its relaxed geometry, with properties calculated at the PBE level.

Output
ΔE_f (raw)	-1016	meV per atom
E	-379.5	eV for the cell shown

Cell lengths 7.9177, 7.9177, 20.9624 Å; angles 90.00, 90.00, 120.00 degrees
With the nearest neighbours (Å) after each atom.
Space group R-3m (No. 166, hexagonal axes)
One atom of each set of equivalent atoms:
Th: 0.0000 0.0000 0.2341 (multiplicity 6)  3 C 2.69
Th: 0.0147 0.5073 0.7643 (multiplicity 18)  2 C 2.66, 1 Ru 2.79
Ru: 0.0000 0.0000 0.5000 (multiplicity 3)  6 Th 2.79
C: 0.0000 0.5000 0.5000 (multiplicity 9)  6 Th 2.66-2.69
Se: 0.0000 0.0000 0.0000 (multiplicity 3)  6 Th 2.99
Se: 0.0000 0.5000 0.0000 (multiplicity 9)  6 Th 3.09-3.11

(2)
Below is crystalline Sc6SiSe3S2 at its relaxed geometry, with properties calculated at the PBE level.

Output
ΔE_f (raw)	-1589	meV per atom
E	-162.4	eV for the cell shown

Cell lengths 6.5726, 11.3771, 6.6816 Å; angles 90.00, 109.12, 90.00 degrees
With the nearest neighbours (Å) after each atom.
Space group C2/m (No. 12)
One atom of each set of equivalent atoms:
Sc: 0.2410 0.1655 0.2276 (multiplicity 8)  1 Si 2.61, 2 S 2.63, 3 Se 2.78-2.79
Sc: 0.2447 0.5000 0.2263 (multiplicity 4)  1 Si 2.60, 2 S 2.62, 3 Se 2.79-2.80
Si: 0.0000 0.0000 0.0000 (multiplicity 2)  6 Sc 2.60-2.61
Se: 0.0000 0.1671 0.5000 (multiplicity 4)  6 Sc 2.78-2.79
Se: 0.0000 0.5000 0.5000 (multiplicity 2)  6 Sc 2.78-2.80
S: 0.0000 0.3334 0.0000 (multiplicity 4)  6 Sc 2.62-2.63

(3)
Below is crystalline RbNa14Ca at its relaxed geometry, with properties calculated at the PBE level.

Output
energy of formation	39	meV per atom
E	-20.8	eV for the cell shown

Cell lengths 7.8322, 7.8322, 10.3904 Å; angles 90.00, 90.00, 90.00 degrees
With the nearest neighbours (Å) after each atom.
Space group P4/mmm (No. 123)
One atom of each set of equivalent atoms:
Rb: 0.0000 0.0000 0.0000 (multiplicity 1)  12 Na 3.92-4.01
Na: 0.0000 0.0000 0.5000 (multiplicity 1)  12 Na 3.77-3.92
Na: 0.0000 0.5000 0.0000 (multiplicity 2)  2 Ca 3.92, 2 Rb 3.92, 8 Na 3.92
Na: 0.0000 0.5000 0.5000 (multiplicity 2)  12 Na 3.68-3.92
Na: 0.2609 0.2609 0.2672 (multiplicity 8)  8 Na 3.59-3.92, 1 Ca 3.84, 1 Rb 4.01
Na: 0.5000 0.5000 0.5000 (multiplicity 1)  12 Na 3.59-3.92
Ca: 0.5000 0.5000 0.0000 (multiplicity 1)  12 Na 3.84-3.92